Entry i
4
Lattice="-4.328 -1.459 -1.791 -0.223 -3.823 -3.066 -1.973 -4.234 1.498" Properties=species:S:1:pos:R:3 comment="TbHoCu2 PBE optimized geometry" dos_at_fermi_per_ev_cell=2.448 pbc="T T T"
Cu -4.893 -7.138 -2.519
Cu -1.631 -2.379 -0.840
Ho -3.262 -4.758 -1.679
Tb 0.000 0.000 0.000

Entry ii
4
Lattice="-1.828 2.229 2.384 1.201 -2.644 3.393 5.215 1.651 -0.560" Properties=species:S:1:pos:R:3 comment="TbHoCu2 PBE optimized geometry" dos_at_fermi_per_ev_cell=2.725 pbc="T T T"
Cu 4.727 0.420 1.592
Cu 2.910 0.948 -0.292
Tb 3.820 3.245 1.176
Ho 2.007 0.364 2.512

On energetic grounds, entry ii is preferred over the next structure by 7 meV per atom.

Entry i
6
Lattice="-4.402 -2.719 0.935 -0.305 -5.064 -1.378 -0.047 -3.733 3.701" Properties=species:S:1:pos:R:3 comment="TbHoCu4 PBE optimized geometry" dos_at_fermi_per_ev_cell=3.268 pbc="T T T"
Cu -2.818 -4.667 2.724
Cu -0.773 -5.838 1.569
Cu -2.970 -7.195 2.036
Cu -2.946 -5.332 0.188
Tb 0.000 0.000 0.000
Ho -1.188 -2.879 0.815

Entry ii
6
Lattice="3.937 0.000 1.687 1.835 5.000 1.154 -0.006 0.017 5.449" Properties=species:S:1:pos:R:3 comment="TbHoCu4 PBE optimized geometry" dos_at_fermi_per_ev_cell=2.805 pbc="T T T"
Cu 4.869 4.317 4.949
Cu 0.708 0.179 3.785
Cu 4.142 2.349 6.645
Cu 1.817 3.183 1.197
Tb 1.875 0.223 1.062
Ho 2.974 2.291 3.933

On energetic grounds, entry ii is preferred over the next structure by 102 meV per atom.

Entry i
4
Lattice="3.511 0.000 0.000 0.000 3.511 0.000 0.000 0.000 7.066" Properties=species:S:1:pos:R:3 comment="TbHoZnCu PBE optimized geometry" dos_at_fermi_per_ev_cell=2.850 pbc="T T T"
Tb 0.000 0.000 6.100
Zn 1.756 1.756 4.261
Ho 0.000 0.000 2.470
Cu 1.756 1.756 0.793

Entry ii
4
Lattice="4.975 0.000 0.000 2.488 4.309 0.000 2.488 1.436 4.062" Properties=species:S:1:pos:R:3 comment="TbHoZnCu PBE optimized geometry" dos_at_fermi_per_ev_cell=2.312 pbc="T T T"
Tb 0.000 0.000 0.000
Ho 4.975 2.872 2.031
Zn 7.463 4.309 3.047
Cu 2.488 1.436 1.016

On energetic grounds, entry i is preferred over the next structure by 7 meV per atom.

Entry i
4
Lattice="-2.467 -0.662 2.747 1.203 -3.546 0.225 4.633 1.865 4.610" Properties=species:S:1:pos:R:3 comment="Ho2CuTe PBE optimized geometry" dos_at_fermi_per_ev_cell=4.167 pbc="T T T"
Te 1.685 -1.171 3.791
Ho 1.090 0.439 1.085
Ho 3.543 1.426 3.526
Cu -0.632 -2.104 1.486

Entry ii
4
Lattice="-0.455 4.041 0.183 -2.149 1.671 3.026 5.193 2.403 5.100" Properties=species:S:1:pos:R:3 comment="Ho2CuTe PBE optimized geometry" dos_at_fermi_per_ev_cell=3.980 pbc="T T T"
Ho 0.474 2.014 1.962
Ho 2.115 6.100 6.347
Cu 0.000 0.000 0.000
Te 1.295 4.057 4.154

On energetic grounds, entry ii is preferred over the next structure by 103 meV per atom.

Entry i
11
Lattice="0.320 -3.544 1.722 8.418 -2.820 -2.829 7.217 1.246 5.761" Properties=species:S:1:pos:R:3 comment="Ho7Cu2Te2 PBE optimized geometry" dos_at_fermi_per_ev_cell=11.189 pbc="T T T"
Cu 12.289 -4.203 2.682
Cu 3.897 -1.697 0.322
Te 8.126 -1.831 -0.740
Te 7.808 -1.985 3.539
Ho 12.671 -1.536 3.562
Ho 6.120 -3.245 1.261
Ho 10.033 -3.062 5.448
Ho 3.045 -2.773 2.801
Ho 5.338 -0.081 3.380
Ho 10.089 -2.734 1.575
Ho 7.400 -0.604 6.457

Entry ii
11
Lattice="6.443 -0.002 -0.810 0.003 7.717 0.003 -1.210 -0.002 6.380" Properties=species:S:1:pos:R:3 comment="Ho7Cu2Te2 PBE optimized geometry" dos_at_fermi_per_ev_cell=13.859 pbc="T T T"
Ho 3.220 2.276 -0.402
Ho 0.000 0.000 0.000
Ho 2.017 5.436 5.976
Ho 2.621 5.484 2.786
Ho 2.616 2.228 2.788
Ho -0.601 5.438 3.190
Ho 5.837 2.274 2.384
Te 4.216 7.714 1.289
Te 1.020 -0.002 4.285
Cu 0.919 3.858 0.978
Cu 4.318 3.854 4.596

On energetic grounds, entry i is preferred over the next structure by 401 meV per atom.

Entry i
4
Lattice="4.987 0.000 0.000 2.494 4.319 0.000 2.494 1.440 4.072" Properties=species:S:1:pos:R:3 comment="HoThCu2 PBE optimized geometry" dos_at_fermi_per_ev_cell=4.468 pbc="T T T"
Th 0.000 0.000 0.000
Cu 2.494 1.440 1.018
Cu 7.481 4.319 3.054
Ho 4.987 2.879 2.036

Entry ii
4
Lattice="-2.039 2.173 2.301 -3.346 -0.204 -2.773 -0.804 -5.523 1.376" Properties=species:S:1:pos:R:3 comment="HoThCu2 PBE optimized geometry" dos_at_fermi_per_ev_cell=4.821 pbc="T T T"
Th -2.287 -3.915 3.047
Ho -2.905 -1.461 0.200
Cu -0.475 -3.076 0.800
Cu -2.658 -4.424 0.120

Entry iii
4
Lattice="-0.378 3.424 0.296 0.225 -0.273 3.440 7.183 0.828 -0.404" Properties=species:S:1:pos:R:3 comment="HoThCu2 PBE optimized geometry" dos_at_fermi_per_ev_cell=3.743 pbc="T T T"
Cu 5.534 0.638 -0.312
Cu 1.649 0.190 -0.093
Th 3.515 1.990 1.666
Ho -0.077 1.576 1.868

On energetic grounds, entry ii is preferred over the next structure by 23 meV per atom.

Entry i
11
Lattice="-4.451 2.981 -0.010 -2.801 -6.393 -3.972 0.756 -1.042 7.927" Properties=species:S:1:pos:R:3 comment="Ho8TlCu2 PBE optimized geometry" dos_at_fermi_per_ev_cell=16.372 pbc="T T T"
Cu -1.713 -4.757 -0.334
Cu -0.331 -2.678 4.289
Ho -1.271 -1.957 -0.669
Ho -6.118 -3.841 1.627
Ho -2.322 -0.835 5.068
Ho -3.901 -0.857 1.551
Ho -4.173 -3.620 -1.123
Ho -0.378 -0.614 2.318
Ho -5.225 -2.498 4.614
Ho -2.594 -3.598 2.394
Tl -2.225 1.491 -0.005

Entry ii
11
Lattice="4.731 0.000 -1.528 -1.112 6.676 -3.445 0.223 0.732 8.780" Properties=species:S:1:pos:R:3 comment="Ho8TlCu2 PBE optimized geometry" dos_at_fermi_per_ev_cell=9.799 pbc="T T T"
Ho 1.612 0.595 4.993
Ho 2.229 6.814 -1.186
Ho 1.499 4.099 4.641
Ho 3.200 5.231 1.819
Ho 0.642 2.178 1.989
Ho 4.435 2.295 5.645
Ho -0.593 5.113 -1.837
Ho 2.343 3.309 -0.834
Cu 3.585 2.756 3.013
Cu 0.257 4.652 0.795
Tl 2.366 0.000 -0.764

On energetic grounds, entry ii is preferred over the next structure by 84 meV per atom.

Entry i
12
Lattice="-4.337 4.484 -0.797 -2.243 -3.125 -5.378 -1.946 -5.222 6.019" Properties=species:S:1:pos:R:3 comment="Ho3Tl2Cu PBE optimized geometry" dos_at_fermi_per_ev_cell=9.812 pbc="T T T"
Ho -6.305 -0.627 1.192
Ho -3.230 -0.743 -4.318
Ho -2.220 -3.235 -1.349
Ho -6.592 -3.053 -1.343
Ho -1.933 -0.810 1.187
Ho -3.349 2.102 -1.857
Tl -4.245 -2.956 1.238
Tl -4.280 -0.907 -1.394
Tl -4.452 -5.463 -1.283
Tl -4.073 1.601 1.127
Cu -5.424 1.526 -4.721
Cu -1.155 -0.167 -1.454

Entry ii
6
Lattice="-1.227 -3.082 -1.242 2.851 -1.656 1.293 -5.740 -1.858 10.278" Properties=species:S:1:pos:R:3 comment="Ho3Tl2Cu PBE optimized geometry" dos_at_fermi_per_ev_cell=3.188 pbc="T T T"
Tl -3.900 -3.895 8.462
Tl -0.216 -2.702 1.866
Ho -2.059 -0.667 3.686
Ho 0.000 0.000 0.000
Ho -3.681 -1.192 6.592
Cu -2.058 -3.298 5.164

On energetic grounds, entry ii is preferred over the next structure by 123 meV per atom.